# AcDy5Tl4

A relaxed structure of AcDy5Tl4 (PBE-GGA, Alexandria via LeMat-Bulk).

```
AcDy5Tl4
1.0
-0.645 -3.266 -1.456
3.493 -0.257 -0.969
4.685 -9.584 19.428
Ac Dy Tl
1 5 4
direct
0.000 0.000 0.000
0.500 0.500 0.124
0.500 0.500 0.311
0.500 0.500 0.500
0.500 0.500 0.689
0.500 0.500 0.876
0.000 0.000 0.216
0.000 0.000 0.406
0.000 0.000 0.594
0.000 0.000 0.784
```

Magnetic moment   0.009 μB per atom
Space group   P4/mmm, No. 123
DFT total energy   -3.92 eV per atom